No. 1
{"formula": "AlNi2Mo2", "functional": "PBE", "state": "relaxed", "magnetic_moment_mub_per_atom": 0.0000, "e_form_ev_per_atom": -0.0009, "spacegroup": "P4/mbm, No. 127", "e_tot_ev_per_atom": -7.394, "n_ef_per_ev_atom": 0.99, "lattice": [[6.2310, 0.0000, 0.0000], [0.0000, 6.2310, 0.0000], [0.0000, 0.0000, 3.5524]], "species": ["Al", "Al", "Ni", "Ni", "Ni", "Ni", "Mo", "Mo", "Mo", "Mo"], "frac_coords": [[0.0000, 0.0000, 0.0000], [0.5000, 0.5000, 0.0000], [0.1321, 0.3679, 0.0000], [0.3679, 0.8679, 0.0000], [0.6321, 0.1321, 0.0000], [0.8679, 0.6321, 0.0000], [0.1700, 0.6700, 0.5000], [0.3300, 0.1700, 0.5000], [0.6700, 0.8300, 0.5000], [0.8300, 0.3300, 0.5000]]}



No. 2
{"formula": "YZrIn2", "functional": "PBE", "state": "relaxed", "magnetic_moment_mub_per_atom": 0.0000, "e_form_ev_per_atom": -0.2997, "spacegroup": "P4/mmm, No. 123", "e_tot_ev_per_atom": -5.422, "n_ef_per_ev_atom": 0.58, "lattice": [[5.4108, 0.0000, 0.0000], [0.0000, 5.4108, 0.0000], [0.0000, 0.0000, 3.3244]], "species": ["Y", "Zr", "In", "In"], "frac_coords": [[0.0000, 0.0000, 0.0000], [0.5000, 0.5000, 0.0000], [0.0000, 0.5000, 0.5000], [0.5000, 0.0000, 0.5000]]}



No. 3
{"formula": "KYCl2", "functional": "PBE", "state": "relaxed", "relative_energy_mev_per_atom": 94.7, "magnetic_moment_mub_per_atom": 0.0000, "e_form_raw_ev_per_atom": -1.381, "spacegroup": "Cmmm, No. 65", "e_tot_ev_per_atom": -4.195, "n_ef_per_ev_atom": 0.48, "lattice": [[3.6355, 0.0000, 0.0000], [0.0000, 6.9845, 0.0000], [0.0000, 0.0000, 9.2142]], "species": ["K", "K", "Y", "Y", "Cl", "Cl", "Cl", "Cl"], "frac_coords": [[0.0000, 0.0000, 0.0000], [0.5000, 0.5000, 0.0000], [0.0000, 0.0000, 0.5000], [0.5000, 0.5000, 0.5000], [0.0000, 0.5000, 0.2613], [0.0000, 0.5000, 0.7387], [0.5000, 0.0000, 0.2613], [0.5000, 0.0000, 0.7387]]}



No. 4
{"formula": "InSnSbTe2", "functional": "PBE", "state": "relaxed", "relative_energy_mev_per_atom": 0.0, "magnetic_moment_mub_per_atom": 0.0719, "e_form_raw_ev_per_atom": 0.375, "spacegroup": "P4/mmm, No. 123", "e_tot_ev_per_atom": -3.054, "n_ef_per_ev_atom": 1.16, "lattice": [[5.7911, 0.0000, 0.0000], [0.0000, 5.7911, 0.0000], [0.0000, 0.0000, 5.6689]], "species": ["In", "Sn", "Sb", "Te", "Te"], "frac_coords": [[0.0000, 0.0000, 0.0000], [0.5000, 0.5000, 0.5000], [0.5000, 0.5000, 0.0000], [0.0000, 0.5000, 0.5000], [0.5000, 0.0000, 0.5000]]}



No. 5
{"formula": "CaNdTm", "functional": "PBE", "state": "relaxed", "relative_energy_mev_per_atom": 0.0, "magnetic_moment_mub_per_atom": 0.0000, "e_form_ev_per_atom": 0.0557, "spacegroup": "P-1, No. 2", "e_tot_ev_per_atom": -3.691, "n_ef_per_ev_atom": 1.32, "lattice": [[3.6839, 0.0000, 0.0000], [0.0060, 6.3346, 0.0000], [0.0166, 2.1647, 9.0113]], "species": ["Ca", "Ca", "Nd", "Nd", "Tm", "Tm"], "frac_coords": [[0.2497, 0.2464, 0.0048], [0.7503, 0.7536, 0.9952], [0.2509, 0.4714, 0.3448], [0.7491, 0.5286, 0.6552], [0.2493, 0.0317, 0.6502], [0.7507, 0.9683, 0.3498]]}



No. 6
{"formula": "CuBiRu3", "functional": "PBE", "state": "relaxed", "relative_energy_mev_per_atom": 0.0, "magnetic_moment_mub_per_atom": 0.0000, "e_form_ev_per_atom": 1.3328, "spacegroup": "Pm-3m, No. 221", "e_tot_ev_per_atom": -5.828, "n_ef_per_ev_atom": 1.31, "lattice": [[4.5208, 0.0000, 0.0000], [0.0000, 4.5208, 0.0000], [0.0000, 0.0000, 4.5208]], "species": ["Cu", "Bi", "Ru", "Ru", "Ru"], "frac_coords": [[0.0000, 0.0000, 0.0000], [0.5000, 0.5000, 0.5000], [0.0000, 0.0000, 0.5000], [0.0000, 0.5000, 0.0000], [0.5000, 0.0000, 0.0000]]}